[1]
## Cu2HgPt (GGA-PBE)

Data for an optimized crystal structure of Cu2HgPt.

Summary:
Symmetry = P4/mmm, No. 123
Magnetic moment = 0.00 μB per cell
Formation energy = -23 meV per atom
Calculated total energy = -3.657 eV/atom

Cell and atoms, written as POSCAR:
```
Cu2HgPt
1.0
4.0082 0.0000 0.0000
0.0000 4.0082 0.0000
0.0000 0.0000 3.7760
Cu Hg Pt
2 1 1
Direct
0.0000 0.5000 0.0000
0.5000 0.0000 0.0000
0.0000 0.0000 0.5000
0.5000 0.5000 0.5000
```

***

[2]
## CuHg2Pt (GGA-PBE)

Data for an optimized crystal structure of CuHg2Pt.

Summary:
Symmetry = Pmmm, No. 47
Magnetic moment = 0.00 μB per cell
Formation energy = 117 meV per atom
Calculated total energy = -2.568 eV/atom

Cell and atoms, written as POSCAR:
```
CuHg2Pt
1.0
3.9046 0.0000 0.0000
0.0000 4.2514 0.0000
0.0000 0.0000 4.2645
Cu Hg Pt
1 2 1
Direct
0.0000 0.0000 0.0000
0.5000 0.0000 0.5000
0.5000 0.5000 0.0000
0.0000 0.5000 0.5000
```

***

[3]
## CuHgPt2 (GGA-PBE)

Data for an optimized crystal structure of CuHgPt2.

Summary:
Symmetry = Cm, No. 8
Magnetic moment = 0.00 μB per cell
Formation energy = 18 meV per atom
Calculated total energy = -4.102 eV/atom

Cell and atoms, written as POSCAR:
```
CuHgPt2
1.0
4.6313 -1.4529 0.0000
4.6313 1.4529 0.0000
-0.9017 0.0000 4.8255
Cu Hg Pt
1 1 2
Direct
0.0000 0.0000 0.0000
0.2458 0.2458 0.7344
0.4902 0.4902 0.4715
0.7420 0.7420 0.2234
```

***

[4]
## CuHg2Pt (GGA-PBE)

Data for an optimized crystal structure of CuHg2Pt.

Summary:
Symmetry = P4/mmm, No. 123
Magnetic moment = 0.00 μB per cell
Formation energy = 145 meV per atom
Calculated total energy = -2.540 eV/atom

Cell and atoms, written as POSCAR:
```
CuHg2Pt
1.0
3.0285 0.0000 0.0000
0.0000 3.0285 0.0000
0.0000 0.0000 7.6769
Cu Hg Pt
1 2 1
Direct
0.0000 0.0000 0.0000
0.5000 0.5000 0.2388
0.5000 0.5000 0.7612
0.0000 0.0000 0.5000
```

***

[5]
## CuHgPt2 (GGA-PBE)

Data for an optimized crystal structure of CuHgPt2.

Summary:
Symmetry = I-4m2, No. 119
Magnetic moment = 0.00 μB per cell
Formation energy = 28 meV per atom
Calculated total energy = -4.092 eV/atom

Cell and atoms, written as POSCAR:
```
CuHgPt2
1.0
-2.0291 2.0291 3.9329
2.0291 -2.0291 3.9329
2.0291 2.0291 -3.9329
Cu Hg Pt
1 1 2
Direct
0.0000 0.0000 0.0000
0.2500 0.7500 0.5000
0.5000 0.5000 0.0000
0.7500 0.2500 0.5000
```

***

[6]
## CuHgPt2 (GGA-PBE)

Data for an optimized crystal structure of CuHgPt2.

Summary:
Symmetry = P4mm, No. 99
Magnetic moment = 0.00 μB per cell
Formation energy = 33 meV per atom
Calculated total energy = -4.087 eV/atom

Cell and atoms, written as POSCAR:
```
CuHgPt2
1.0
2.8962 0.0000 0.0000
0.0000 2.8962 0.0000
0.0000 0.0000 7.6714
Cu Hg Pt
1 1 2
Direct
0.0000 0.0000 0.0000
0.5000 0.5000 0.2546
0.0000 0.0000 0.5288
0.5000 0.5000 0.7831
```

***

[7]
## Cu2HgPt (GGA-PBE)

Data for an optimized crystal structure of Cu2HgPt.

Summary:
Symmetry = I-42d, No. 122
Magnetic moment = 0.00 μB per cell
Formation energy = 240 meV per atom
Calculated total energy = -3.393 eV/atom

Cell and atoms, written as POSCAR:
```
Cu2HgPt
1.0
-1.9323 1.9323 9.1295
1.9323 -1.9323 9.1295
1.9323 1.9323 -9.1295
Cu Hg Pt
4 2 2
Direct
0.0917 0.6250 0.9667
0.3750 0.3417 0.4667
0.6583 0.1250 0.0333
0.8750 0.9083 0.5333
0.2500 0.7500 0.5000
0.5000 0.5000 0.0000
0.0000 0.0000 0.0000
0.7500 0.2500 0.5000
```

***

[8]
## CuHg2Pt (GGA-PBE)

Data for an optimized crystal structure of CuHg2Pt.

Summary:
Symmetry = Cm, No. 8
Magnetic moment = 0.00 μB per cell
Formation energy = 83 meV per atom
Calculated total energy = -2.602 eV/atom

Cell and atoms, written as POSCAR:
```
CuHg2Pt
1.0
5.2786 -1.4661 0.0000
5.2786 1.4661 0.0000
-1.3590 0.0000 4.6807
Cu Hg Pt
1 2 1
Direct
0.0000 0.0000 0.0000
0.2474 0.2474 0.8549
0.4523 0.4523 0.4814
0.6931 0.6931 0.3225
```

***

[9]
## CuHgPt2 (GGA-PBE)

Data for an optimized crystal structure of CuHgPt2.

Summary:
Symmetry = I4/mmm, No. 139
Magnetic moment = 0.00 μB per cell
Formation energy = -22 meV per atom
Calculated total energy = -4.142 eV/atom

Cell and atoms, written as POSCAR:
```
CuHgPt2
1.0
-2.0286 2.0286 3.9171
2.0286 -2.0286 3.9171
2.0286 2.0286 -3.9171
Cu Hg Pt
1 1 2
Direct
0.0000 0.0000 0.0000
0.5000 0.5000 0.0000
0.2500 0.7500 0.5000
0.7500 0.2500 0.5000
```

***

[10]
## CuHg2Pt2 (GGA-PBE)

Data for an optimized crystal structure of CuHg2Pt2.

Summary:
Symmetry = P4/mbm, No. 127
Magnetic moment = 0.00 μB per cell
Formation energy = 24 meV per atom
Calculated total energy = -3.332 eV/atom

Cell and atoms, written as POSCAR:
```
CuHg2Pt2
1.0
6.6114 0.0000 0.0000
0.0000 6.6114 0.0000
0.0000 0.0000 4.2449
Cu Hg Pt
2 4 4
Direct
0.0000 0.0000 0.0000
0.5000 0.5000 0.0000
0.1676 0.3324 0.5000
0.3324 0.8324 0.5000
0.6676 0.1676 0.5000
0.8324 0.6676 0.5000
0.1412 0.6412 0.0000
0.3588 0.1412 0.0000
0.6412 0.8588 0.0000
0.8588 0.3588 0.0000
```

***

[11]
## CuHg2Pt (GGA-PBE)

Data for an optimized crystal structure of CuHg2Pt.

Summary:
Symmetry = F-43m, No. 216
Magnetic moment = 0.00 μB per cell
Formation energy = 195 meV per atom
Calculated total energy = -2.490 eV/atom

Cell and atoms, written as POSCAR:
```
CuHg2Pt
1.0
0.0000 3.2932 3.2932
3.2932 0.0000 3.2932
3.2932 3.2932 0.0000
Cu Hg Pt
1 2 1
Direct
0.0000 0.0000 0.0000
0.2500 0.2500 0.2500
0.5000 0.5000 0.5000
0.7500 0.7500 0.7500
```

***

[12]
## CuHg2Pt (GGA-PBE)

Data for an optimized crystal structure of CuHg2Pt.

Summary:
Symmetry = P2/m, No. 10
Magnetic moment = 0.00 μB per cell
Formation energy = 132 meV per atom
Calculated total energy = -2.553 eV/atom

Cell and atoms, written as POSCAR:
```
CuHg2Pt
1.0
3.0009 0.0000 0.0000
0.0000 3.9176 0.0000
-0.0762 0.0000 6.0263
Cu Hg Pt
1 2 1
Direct
0.0000 0.0000 0.0000
0.4983 0.5000 0.2421
0.5017 0.5000 0.7579
0.0000 0.0000 0.5000
```

***

[13]
## CuHgPt2 (GGA-PBE)

Data for an optimized crystal structure of CuHgPt2.

Summary:
Symmetry = Pmm2, No. 25
Magnetic moment = 0.00 μB per cell
Formation energy = 15 meV per atom
Calculated total energy = -4.105 eV/atom

Cell and atoms, written as POSCAR:
```
CuHgPt2
1.0
2.8543 0.0000 0.0000
0.0000 3.8235 0.0000
0.0000 0.0000 5.9420
Cu Hg Pt
1 1 2
Direct
0.0000 0.0000 0.0000
0.5000 0.5000 0.2676
0.0000 0.0000 0.5391
0.5000 0.5000 0.7915
```

***

[14]
## CuHgPt2 (GGA-PBE)

Data for an optimized crystal structure of CuHgPt2.

Summary:
Symmetry = C2/m, No. 12
Magnetic moment = 0.00 μB per cell
Formation energy = -13 meV per atom
Calculated total energy = -4.133 eV/atom

Cell and atoms, written as POSCAR:
```
CuHgPt2
1.0
4.7215 -1.4450 0.0000
4.7215 1.4450 0.0000
-1.1349 0.0000 4.7212
Cu Hg Pt
1 1 2
Direct
0.0000 0.0000 0.0000
0.5000 0.5000 0.5000
0.2598 0.2598 0.7625
0.7402 0.7402 0.2375
```

***

[15]
## Cu2HgPt (GGA-PBE)

Data for an optimized crystal structure of Cu2HgPt.

Summary:
Symmetry = Pmmm, No. 47
Magnetic moment = 0.00 μB per cell
Formation energy = 6 meV per atom
Calculated total energy = -3.628 eV/atom

Cell and atoms, written as POSCAR:
```
Cu2HgPt
1.0
2.8632 0.0000 0.0000
0.0000 3.6698 0.0000
0.0000 0.0000 5.8405
Cu Hg Pt
2 1 1
Direct
0.0000 0.0000 0.2244
0.0000 0.0000 0.7756
0.5000 0.5000 0.5000
0.5000 0.5000 0.0000
```

***

[16]
## Cu2HgPt (GGA-PBE)

Data for an optimized crystal structure of Cu2HgPt.

Summary:
Symmetry = Pm, No. 6
Magnetic moment = 0.00 μB per cell
Formation energy = 31 meV per atom
Calculated total energy = -3.602 eV/atom

Cell and atoms, written as POSCAR:
```
Cu2HgPt
1.0
2.8575 0.0000 0.0000
0.0000 4.1847 0.0000
-1.3690 0.0000 5.1104
Cu Hg Pt
2 1 1
Direct
0.0000 0.0000 0.0000
0.1170 0.5000 0.2655
0.7253 0.0000 0.4827
0.4024 0.5000 0.8129
```

***

[17]
## CuHg2Pt (GGA-PBE)

Data for an optimized crystal structure of CuHg2Pt.

Summary:
Symmetry = Imm2, No. 44
Magnetic moment = 0.00 μB per cell
Formation energy = 113 meV per atom
Calculated total energy = -2.572 eV/atom

Cell and atoms, written as POSCAR:
```
CuHg2Pt
1.0
-1.8045 2.1477 4.6294
1.8045 -2.1477 4.6294
1.8045 2.1477 -4.6294
Cu Hg Pt
1 2 1
Direct
0.0000 0.0000 0.0000
0.2440 0.7440 0.5000
0.5180 0.5180 0.0000
0.7896 0.2896 0.5000
```

***

[18]
## CuHg2Pt (GGA-PBE)

Data for an optimized crystal structure of CuHg2Pt.

Summary:
Symmetry = C2/m, No. 12
Magnetic moment = 0.00 μB per cell
Formation energy = 131 meV per atom
Calculated total energy = -2.555 eV/atom

Cell and atoms, written as POSCAR:
```
CuHg2Pt
1.0
3.0423 -3.6870 0.0000
3.0423 3.6870 0.0000
-0.0129 0.0000 3.1699
Cu Hg Pt
1 2 1
Direct
0.0000 0.0000 0.0000
0.0000 0.5000 0.5000
0.5000 0.0000 0.5000
0.5000 0.5000 0.0000
```

***

[19]
## Cu2HgPt (GGA-PBE)

Data for an optimized crystal structure of Cu2HgPt.

Summary:
Symmetry = I-4m2, No. 119
Magnetic moment = 0.00 μB per cell
Formation energy = 3 meV per atom
Calculated total energy = -3.631 eV/atom

Cell and atoms, written as POSCAR:
```
Cu2HgPt
1.0
-1.9518 1.9518 4.0094
1.9518 -1.9518 4.0094
1.9518 1.9518 -4.0094
Cu Hg Pt
2 1 1
Direct
0.0000 0.0000 0.0000
0.7500 0.2500 0.5000
0.2500 0.7500 0.5000
0.5000 0.5000 0.0000
```

***

[20]
## CuHgPt2 (GGA-PBE)

Data for an optimized crystal structure of CuHgPt2.

Summary:
Symmetry = F-43m, No. 216
Magnetic moment = 0.00 μB per cell
Formation energy = 59 meV per atom
Calculated total energy = -4.061 eV/atom

Cell and atoms, written as POSCAR:
```
CuHgPt2
1.0
0.0000 3.1921 3.1921
3.1921 0.0000 3.1921
3.1921 3.1921 0.0000
Cu Hg Pt
1 1 2
Direct
0.0000 0.0000 0.0000
0.7500 0.7500 0.7500
0.2500 0.2500 0.2500
0.5000 0.5000 0.5000
```